1.
VASP calculation (GGA-PBE) on crystalline KBeIn2 at its relaxed geometry.

raw total energy: -2.361 eV per atom
spin magnetization: 0.0 μB per cell
D(E_F): 0.36 states/eV/atom

Unit cell a=8.4195 b=3.6462 c=7.9121 alpha=90.00 beta=107.99 gamma=90.00
With the nearest neighbours (Å) after each atom.
Space group Cm (No. 8)
Inequivalent atoms, fractional coordinates:
K 0.0000 0.0000 0.0000 [2 per cell]  2 Be 3.58, 6 In 3.63-3.70, 2 K 3.65
Be 0.2968 0.0000 0.6023 [2 per cell]  5 In 2.48-2.70
In 0.1000 0.5000 0.6386 [2 per cell]  3 Be 2.48-2.54
In 0.3132 0.5000 0.3562 [2 per cell]  2 Be 2.70



2.
VASP calculation (GGA-PBE) on crystalline K2BeIn at its relaxed geometry.

raw total energy: -1.535 eV per atom
spin magnetization: 0.0 μB per cell
D(E_F): 0.71 states/eV/atom
relative energy among the computed polymorphs: 0.374 eV per atom

Unit cell a=6.6748 b=10.5052 c=3.8917 alpha=90.00 beta=90.00 gamma=90.00
With the nearest neighbours (Å) after each atom.
Space group Cmmm (No. 65)
Inequivalent atoms, fractional coordinates:
K 0.2500 0.2500 0.0000 [4 per cell]  2 K 3.34, 4 In 3.67, 4 Be 3.67
Be 0.0000 0.0000 0.5000 [2 per cell]  2 In 3.34, 8 K 3.67
In 0.0000 0.5000 0.5000 [2 per cell]  2 Be 3.34, 8 K 3.67



3.
VASP calculation (GGA-PBE) on crystalline KBeIn at its relaxed geometry.

raw total energy: -2.292 eV per atom
spin magnetization: 0.0 μB per cell
D(E_F): 0.26 states/eV/atom
relative energy among the computed polymorphs: 0.081 eV per atom

Unit cell a=4.7415 b=6.4208 c=6.7197 alpha=107.32 beta=101.22 gamma=90.71
With the nearest neighbours (Å) after each atom.
Space group P-1 (No. 2)
Inequivalent atoms, fractional coordinates:
K 0.0666 0.3248 0.1902 [2 per cell]  4 Be 3.36-3.76
Be 0.0916 0.8942 0.3788 [2 per cell]  1 Be 2.13
In 0.4338 0.1546 0.7059 [2 per cell]  3 Be 2.43-2.57



4.
VASP calculation (GGA-PBE) on crystalline K2BeIn at its relaxed geometry.

raw total energy: -1.861 eV per atom
spin magnetization: 0.0 μB per cell
D(E_F): 0.62 states/eV/atom
relative energy among the computed polymorphs: 0.048 eV per atom

Unit cell a=13.0065 b=13.0065 c=4.6568 alpha=90.00 beta=90.00 gamma=90.00
With the nearest neighbours (Å) after each atom.
Space group I-42d (No. 122)
Inequivalent atoms, fractional coordinates:
K 0.0325 0.7500 0.1250 [8 per cell]  2 Be 3.33, 2 In 3.72
Be 0.0000 0.0000 0.0000 [4 per cell]  2 In 2.33
In 0.0000 0.0000 0.5000 [4 per cell]  2 Be 2.33



5.
VASP calculation (GGA-PBE) on crystalline K2BeIn at its relaxed geometry.

raw total energy: -1.453 eV per atom
spin magnetization: 1.2 μB per cell
D(E_F): 0.69 states/eV/atom
relative energy among the computed polymorphs: 0.455 eV per atom

Unit cell a=3.8105 b=3.8105 c=34.0571 alpha=90.00 beta=90.00 gamma=120.00
With the nearest neighbours (Å) after each atom.
Space group R-3m (No. 166, hexagonal axes)
Inequivalent atoms, fractional coordinates:
K 0.0000 0.0000 0.2434 [6 per cell]  3 Be 3.42, 3 In 3.77, 6 K 3.81
Be 0.0000 0.0000 0.5000 [3 per cell]  6 K 3.42, 6 Be 3.81
In 0.0000 0.0000 0.0000 [3 per cell]  6 K 3.77, 6 In 3.81



6.
VASP calculation (GGA-PBE) on crystalline KBeIn2 at its relaxed geometry.

raw total energy: -2.187 eV per atom
spin magnetization: 0.0 μB per cell
D(E_F): 0.82 states/eV/atom

Unit cell a=4.6979 b=6.0335 c=8.6139 alpha=90.00 beta=90.00 gamma=90.00
With the nearest neighbours (Å) after each atom.
Space group Imm2 (No. 44)
Inequivalent atoms, fractional coordinates:
K 0.0000 0.0000 0.0000 [2 per cell]  2 Be 3.19, 5 In 3.43-3.53
Be 0.0000 0.5000 0.8789 [2 per cell]  2 In 2.35
In 0.0000 0.0000 0.3983 [2 per cell]  2 Be 2.35
In 0.0000 0.5000 0.1933 [2 per cell]  1 Be 2.71